{
  "formula": "Ho3Ni2",
  "functional": "PBE-GGA",
  "state": "optimized geometry",
  "sg": "C2/m, No. 12",
  "e_form_mev_per_atom": -386,
  "crystal_system": "monoclinic",
  "lattice_angstrom": [[6.6234, -1.8313, 0.0000], [6.6234, 1.8313, 0.0000], [-2.5276, 0.0000, 9.1145]],
  "species": ["Ho", "Ho", "Ho", "Ho", "Ho", "Ho", "Ni", "Ni", "Ni", "Ni"],
  "fractional_positions": [[0.0979, 0.0979, 0.1727], [0.3569, 0.3569, 0.1336], [0.3683, 0.3683, 0.5033], [0.6317, 0.6317, 0.4967], [0.6431, 0.6431, 0.8664], [0.9021, 0.9021, 0.8273], [0.0344, 0.0344, 0.6446], [0.2429, 0.2429, 0.7256], [0.7571, 0.7571, 0.2744], [0.9656, 0.9656, 0.3554]]
}